Crystalline Hf3Ti2Pb5O15 at its relaxed geometry, computed with PBE-GGA.

Results
Fermi-level density of states ... 0.00 states/eV per cell
Formation energy (no corrections) ... -2.456 eV/atom

POSCAR file:
```
Hf3Ti2Pb5O15
1.0
8.6631 -2.9080 0.0000
8.6631 2.9080 0.0000
-1.7332 0.0000 6.9573
Hf Ti Pb O
3 2 5 15
Direct
0.0000 0.0000 0.0000 Hf
0.2019 0.2019 0.7911 Hf
0.6003 0.6003 0.3904 Hf
0.4064 0.4064 0.6184 Ti
0.8040 0.8040 0.2060 Ti
0.0147 0.0147 0.5256 Pb
0.2228 0.2228 0.3227 Pb
0.4079 0.4079 0.1459 Pb
0.6225 0.6225 0.9259 Pb
0.8096 0.8096 0.7391 Pb
0.0922 0.0922 0.8687 O
0.0938 0.5900 0.3626 O
0.1898 0.6919 0.7724 O
0.2961 0.2961 0.6561 O
0.2967 0.7830 0.1840 O
0.3841 0.9003 0.5794 O
0.4878 0.4878 0.4751 O
0.5080 0.9806 0.9742 O
0.5900 0.0938 0.3626 O
0.6919 0.1898 0.7724 O
0.6954 0.6954 0.2646 O
0.7830 0.2967 0.1840 O
0.8879 0.8879 0.0653 O
0.9003 0.3841 0.5794 O
0.9806 0.5080 0.9742 O
```